Entry 1:
Crystalline CoSb3 at its relaxed geometry, computed with PBE-GGA.

Unit cell a=7.1111 b=7.1111 c=7.1111 alpha=90.00 beta=90.00 gamma=90.00
Space group Fm-3m (No. 225)
Unique sites:
Co 0.0000 0.0000 0.0000 x4
Sb 0.0000 0.0000 0.5000 x4
Sb 0.2500 0.2500 0.2500 x8

DFT total energy, hartree per atom: -0.1571
Total magnetization, Bohr magnetons per cell: 0.05
Energy relative to the lowest polymorph listed for this composition, meV/atom: 783

Entry 2:
Crystalline Dy2Cl2O at its relaxed geometry, computed with PBE-GGA.

Unit cell a=9.5445 b=8.2037 c=6.1130 alpha=90.00 beta=103.10 gamma=90.00
Space group C2/m (No. 12)
Unique sites:
Dy 0.0000 0.2110 0.0000 x4
Dy 0.1949 0.5000 0.5777 x4
Cl 0.2083 0.1905 0.7380 x8
O 0.1015 0.0000 0.1915 x4

DFT total energy, hartree per atom: -0.2116
Total magnetization, Bohr magnetons per cell: 0.00